(1)
# LiGa2Ni (SCAN, PBEsol geometry)
data_LiGa2Ni
_space_group_name_H-M_alt 'P 1'
_space_group_IT_number 1
_cell_length_a 4.113
_cell_length_b 4.113
_cell_length_c 4.113
_cell_angle_alpha 60.00
_cell_angle_beta 60.00
_cell_angle_gamma 60.00
loop_
_space_group_symop_operation_xyz
'x,y,z'
loop_
_atom_site_label
_atom_site_type_symbol
_atom_site_fract_x
_atom_site_fract_y
_atom_site_fract_z
Li1 Li 0.000 0.000 0.000
Ga1 Ga 0.250 0.250 0.250
Ga2 Ga 0.750 0.750 0.750
Ni1 Ni 0.500 0.500 0.500
# Volume ... 49.2 Å³/cell
# Crystal system ... cubic
# Formation energy ... -0.44 eV per atom
# Space group ... Fm-3m (225)
# Final energy ... -13.25 eV per atom

***

(2)
# BaTc2Au (SCAN, PBEsol geometry)
data_BaTc2Au
_space_group_name_H-M_alt 'P 1'
_space_group_IT_number 1
_cell_length_a 4.787
_cell_length_b 4.787
_cell_length_c 4.787
_cell_angle_alpha 60.00
_cell_angle_beta 60.00
_cell_angle_gamma 60.00
loop_
_space_group_symop_operation_xyz
'x,y,z'
loop_
_atom_site_label
_atom_site_type_symbol
_atom_site_fract_x
_atom_site_fract_y
_atom_site_fract_z
Ba1 Ba 0.000 0.000 0.000
Tc1 Tc 0.500 0.500 0.500
Tc2 Tc 0.750 0.750 0.750
Au1 Au 0.250 0.250 0.250
# Volume ... 77.5 Å³/cell
# Crystal system ... cubic
# Formation energy ... 1.06 eV per atom
# Space group ... F-43m (216)
# Final energy ... -43.65 eV per atom

***

(3)
# KCd2Tc (SCAN, PBEsol geometry)
data_KCd2Tc
_space_group_name_H-M_alt 'P 1'
_space_group_IT_number 1
_cell_length_a 5.131
_cell_length_b 5.131
_cell_length_c 7.338
_cell_angle_alpha 94.01
_cell_angle_beta 94.01
_cell_angle_gamma 30.85
loop_
_space_group_symop_operation_xyz
'x,y,z'
loop_
_atom_site_label
_atom_site_type_symbol
_atom_site_fract_x
_atom_site_fract_y
_atom_site_fract_z
K1 K 0.000 0.000 0.000
Cd1 Cd 0.503 0.503 0.565
Cd2 Cd 0.761 0.761 0.330
Tc1 Tc 0.241 0.241 0.658
# Volume ... 98.8 Å³/cell
# ΔE to the lowest computed polymorph ... 0.116 eV/atom
# Crystal system ... monoclinic
# Formation energy ... 0.64 eV per atom
# Space group ... Cm (8)
# Final energy ... -25.41 eV per atom